The following is a GGA+U calculation of a geometry-optimized Sc2MnPdO6 structure, from the Alexandria database.

Cell lengths 5.7121, 5.7121, 5.7121 Å; angles 55.49, 55.49, 55.49 degrees
Positions (direct):
Sc  0.0000  0.0000  0.0000
Sc  0.4904  0.4904  0.4904
Mn  0.2071  0.2071  0.2071
Pd  0.6926  0.6926  0.6926
O  0.0860  0.4136  0.7970
O  0.3038  0.8927  0.6068
O  0.4136  0.7970  0.0860
O  0.6068  0.3038  0.8927
O  0.7970  0.0860  0.4136
O  0.8927  0.6068  0.3038

The space group is R3. The mass density comes out at 4.9 g/cm3. The value obtained for the total energy is -7.7010 eV per atom.